# HfCr2Hg2 | the Alexandria database | GGA-PBE | relaxed
# **Formation energy**: 0.445 eV/atom
# **Space group**: I4/mmm
# **Density**: 12.211 g/cm³
# **Volume**: 185.9 Å³ per cell
data_HfCr2Hg2
_chemical_formula_sum 'Hf2 Cr4 Hg4'
_symmetry_space_group_name_H-M 'P 1'
_symmetry_Int_Tables_number 1
_symmetry_space_group_name_Hall 'P 1'
_cell_length_a 4.1147
_cell_length_b 4.1147
_cell_length_c 10.9823
_cell_angle_alpha 90.00
_cell_angle_beta 90.00
_cell_angle_gamma 90.00
loop_
_atom_site_label
_atom_site_fract_x
_atom_site_fract_y
_atom_site_fract_z
_atom_site_occupancy
Hf1 0.0000 0.0000 0.0000 1
Hf2 0.5000 0.5000 0.5000 1
Cr1 0.0000 0.0000 0.4151 1
Cr2 0.0000 0.0000 0.5849 1
Cr3 0.5000 0.5000 0.0849 1
Cr4 0.5000 0.5000 0.9151 1
Hg1 0.0000 0.5000 0.2500 1
Hg2 0.0000 0.5000 0.7500 1
Hg3 0.5000 0.0000 0.2500 1
Hg4 0.5000 0.0000 0.7500 1